No. 1
# GGA-PBE LiAc2Ho, optimized geometry
data_LiAc2Ho
_cell_length_a 8.319
_cell_length_b 8.319
_cell_length_c 8.319
_cell_angle_alpha 90.00
_cell_angle_beta 90.00
_cell_angle_gamma 90.00
_space_group_name_H-M_alt 'F m -3 m'
_space_group_IT_number 225
_space_group_name_Hall '-F 4 2 3'
loop_
_atom_site_label
_atom_site_type_symbol
_atom_site_fract_x
_atom_site_fract_y
_atom_site_fract_z
_atom_site_occupancy
Li1 Li 0.000 0.000 0.000 1
Ac1 Ac 0.250 0.250 0.250 1
Ho1 Ho 0.000 0.000 0.500 1
# - D(E_F) (states/eV/atom) = 1.144
# - formation enthalpy at 0 K (eV/atom) = 0.1227
# - crystal system = cubic
# - polymorph energy (0 for the lowest one) (eV per formula unit) = 0.18
# - total magnetic moment (μB per cell) = 0.0
# - V (Å³ per cell) = 576

---

No. 2
# GGA-PBE LiAc2Ho, optimized geometry
data_LiAc2Ho
_cell_length_a 3.7682
_cell_length_b 3.7682
_cell_length_c 38.5332
_cell_angle_alpha 90.00
_cell_angle_beta 90.00
_cell_angle_gamma 120.00
_space_group_name_H-M_alt 'R -3 m'
_space_group_IT_number 166
_space_group_name_Hall '-R 3 2"'
loop_
_atom_site_label
_atom_site_type_symbol
_atom_site_fract_x
_atom_site_fract_y
_atom_site_fract_z
_atom_site_occupancy
Li1 Li 0.0000 0.0000 0.0000 1
Ac1 Ac 0.0000 0.0000 0.0897 1
Ho1 Ho 0.0000 0.0000 0.5000 1
# - D(E_F) (states/eV/atom) = 1.199
# - formation enthalpy at 0 K (eV/atom) = 0.2085
# - crystal system = trigonal
# - polymorph energy (0 for the lowest one) (eV per formula unit) = 0.53
# - total magnetic moment (μB per cell) = 0.0
# - V (Å³ per cell) = 474

---

No. 3
# GGA-PBE LiAc2Ho, optimized geometry
data_LiAc2Ho
_cell_length_a 3.8133
_cell_length_b 3.8133
_cell_length_c 35.2613
_cell_angle_alpha 90.00
_cell_angle_beta 90.00
_cell_angle_gamma 120.00
_space_group_name_H-M_alt 'R 3 m'
_space_group_IT_number 160
_space_group_name_Hall 'R 3 -2"'
loop_
_atom_site_label
_atom_site_type_symbol
_atom_site_fract_x
_atom_site_fract_y
_atom_site_fract_z
_atom_site_occupancy
Li1 Li 0.0000 0.0000 0.0000 1
Ac1 Ac 0.0000 0.0000 0.4167 1
Ac2 Ac 0.0000 0.0000 0.5845 1
Ho1 Ho 0.0000 0.0000 0.1674 1
# - D(E_F) (states/eV/atom) = 0.903
# - formation enthalpy at 0 K (eV/atom) = 0.0956
# - crystal system = trigonal
# - polymorph energy (0 for the lowest one) (eV per formula unit) = 0.07
# - total magnetic moment (μB per cell) = 0.0
# - V (Å³ per cell) = 444

---

No. 4
# GGA-PBE LiAc2Ho, optimized geometry
data_LiAc2Ho
_cell_length_a 4.014
_cell_length_b 4.014
_cell_length_c 8.927
_cell_angle_alpha 90.00
_cell_angle_beta 90.00
_cell_angle_gamma 90.00
_space_group_name_H-M_alt 'P 4/m m m'
_space_group_IT_number 123
_space_group_name_Hall '-P 4 2'
loop_
_atom_site_label
_atom_site_type_symbol
_atom_site_fract_x
_atom_site_fract_y
_atom_site_fract_z
_atom_site_occupancy
Li1 Li 0.000 0.000 0.000 1
Ac1 Ac 0.500 0.500 0.234 1
Ho1 Ho 0.000 0.000 0.500 1
# - D(E_F) (states/eV/atom) = 1.569
# - formation enthalpy at 0 K (eV/atom) = 0.0771
# - crystal system = tetragonal
# - polymorph energy (0 for the lowest one) (eV per formula unit) = 0.00
# - total magnetic moment (μB per cell) = 0.0
# - V (Å³ per cell) = 144

---

No. 5
# GGA-PBE LiAcHoMg, optimized geometry
data_LiAcHoMg
_cell_length_a 7.865
_cell_length_b 7.865
_cell_length_c 7.865
_cell_angle_alpha 90.00
_cell_angle_beta 90.00
_cell_angle_gamma 90.00
_space_group_name_H-M_alt 'F -4 3 m'
_space_group_IT_number 216
_space_group_name_Hall 'F -4 2 3'
loop_
_atom_site_label
_atom_site_type_symbol
_atom_site_fract_x
_atom_site_fract_y
_atom_site_fract_z
_atom_site_occupancy
Li1 Li 0.000 0.000 0.000 1
Ac1 Ac 0.250 0.250 0.750 1
Ho1 Ho 0.250 0.250 0.250 1
Mg1 Mg 0.000 0.000 0.500 1
# - D(E_F) (states/eV/atom) = 1.479
# - formation enthalpy at 0 K (eV/atom) = 0.0543
# - crystal system = cubic
# - total magnetic moment (μB per cell) = 0.0
# - V (Å³ per cell) = 487

---

No. 6
# GGA-PBE LiAcNdHo, optimized geometry
data_LiAcNdHo
_cell_length_a 8.140
_cell_length_b 8.140
_cell_length_c 8.140
_cell_angle_alpha 90.00
_cell_angle_beta 90.00
_cell_angle_gamma 90.00
_space_group_name_H-M_alt 'F -4 3 m'
_space_group_IT_number 216
_space_group_name_Hall 'F -4 2 3'
loop_
_atom_site_label
_atom_site_type_symbol
_atom_site_fract_x
_atom_site_fract_y
_atom_site_fract_z
_atom_site_occupancy
Li1 Li 0.000 0.000 0.000 1
Ac1 Ac 0.000 0.000 0.500 1
Nd1 Nd 0.250 0.250 0.250 1
Ho1 Ho 0.250 0.250 0.750 1
# - D(E_F) (states/eV/atom) = 1.120
# - formation enthalpy at 0 K (eV/atom) = 0.2468
# - crystal system = cubic
# - total magnetic moment (μB per cell) = 0.0
# - V (Å³ per cell) = 539

---

No. 7
# GGA-PBE LiAcHoOs, optimized geometry
data_LiAcHoOs
_cell_length_a 7.213
_cell_length_b 7.213
_cell_length_c 7.213
_cell_angle_alpha 90.00
_cell_angle_beta 90.00
_cell_angle_gamma 90.00
_space_group_name_H-M_alt 'F -4 3 m'
_space_group_IT_number 216
_space_group_name_Hall 'F -4 2 3'
loop_
_atom_site_label
_atom_site_type_symbol
_atom_site_fract_x
_atom_site_fract_y
_atom_site_fract_z
_atom_site_occupancy
Li1 Li 0.000 0.000 0.000 1
Ac1 Ac 0.250 0.250 0.750 1
Ho1 Ho 0.250 0.250 0.250 1
Os1 Os 0.000 0.000 0.500 1
# - D(E_F) (states/eV/atom) = 0.667
# - formation enthalpy at 0 K (eV/atom) = -0.0532
# - crystal system = cubic
# - total magnetic moment (μB per cell) = 0.0
# - V (Å³ per cell) = 375

---

No. 8
# GGA-PBE LiAcHoPd, optimized geometry
data_LiAcHoPd
_cell_length_a 7.441
_cell_length_b 7.441
_cell_length_c 7.441
_cell_angle_alpha 90.00
_cell_angle_beta 90.00
_cell_angle_gamma 90.00
_space_group_name_H-M_alt 'F -4 3 m'
_space_group_IT_number 216
_space_group_name_Hall 'F -4 2 3'
loop_
_atom_site_label
_atom_site_type_symbol
_atom_site_fract_x
_atom_site_fract_y
_atom_site_fract_z
_atom_site_occupancy
Li1 Li 0.000 0.000 0.000 1
Ac1 Ac 0.250 0.250 0.750 1
Ho1 Ho 0.250 0.250 0.250 1
Pd1 Pd 0.000 0.000 0.500 1
# - D(E_F) (states/eV/atom) = 0.549
# - formation enthalpy at 0 K (eV/atom) = -0.3094
# - crystal system = cubic
# - total magnetic moment (μB per cell) = 0.0
# - V (Å³ per cell) = 412

---

No. 9
# GGA-PBE LiAcPmHo, optimized geometry
data_LiAcPmHo
_cell_length_a 8.117
_cell_length_b 8.117
_cell_length_c 8.117
_cell_angle_alpha 90.00
_cell_angle_beta 90.00
_cell_angle_gamma 90.00
_space_group_name_H-M_alt 'F -4 3 m'
_space_group_IT_number 216
_space_group_name_Hall 'F -4 2 3'
loop_
_atom_site_label
_atom_site_type_symbol
_atom_site_fract_x
_atom_site_fract_y
_atom_site_fract_z
_atom_site_occupancy
Li1 Li 0.000 0.000 0.000 1
Ac1 Ac 0.000 0.000 0.500 1
Pm1 Pm 0.250 0.250 0.750 1
Ho1 Ho 0.250 0.250 0.250 1
# - D(E_F) (states/eV/atom) = 1.069
# - formation enthalpy at 0 K (eV/atom) = 0.2500
# - crystal system = cubic
# - total magnetic moment (μB per cell) = 0.0
# - V (Å³ per cell) = 535

---

No. 10
# GGA-PBE LiAcPrHo, optimized geometry
data_LiAcPrHo
_cell_length_a 8.165
_cell_length_b 8.165
_cell_length_c 8.165
_cell_angle_alpha 90.00
_cell_angle_beta 90.00
_cell_angle_gamma 90.00
_space_group_name_H-M_alt 'F -4 3 m'
_space_group_IT_number 216
_space_group_name_Hall 'F -4 2 3'
loop_
_atom_site_label
_atom_site_type_symbol
_atom_site_fract_x
_atom_site_fract_y
_atom_site_fract_z
_atom_site_occupancy
Li1 Li 0.000 0.000 0.000 1
Ac1 Ac 0.000 0.000 0.500 1
Pr1 Pr 0.250 0.250 0.250 1
Ho1 Ho 0.250 0.250 0.750 1
# - D(E_F) (states/eV/atom) = 1.133
# - formation enthalpy at 0 K (eV/atom) = 0.2437
# - crystal system = cubic
# - total magnetic moment (μB per cell) = 0.0
# - V (Å³ per cell) = 544

---

No. 11
# GGA-PBE LiAcHoPt, optimized geometry
data_LiAcHoPt
_cell_length_a 7.380
_cell_length_b 7.380
_cell_length_c 7.380
_cell_angle_alpha 90.00
_cell_angle_beta 90.00
_cell_angle_gamma 90.00
_space_group_name_H-M_alt 'F -4 3 m'
_space_group_IT_number 216
_space_group_name_Hall 'F -4 2 3'
loop_
_atom_site_label
_atom_site_type_symbol
_atom_site_fract_x
_atom_site_fract_y
_atom_site_fract_z
_atom_site_occupancy
Li1 Li 0.000 0.000 0.000 1
Ac1 Ac 0.250 0.250 0.250 1
Ho1 Ho 0.250 0.250 0.750 1
Pt1 Pt 0.000 0.000 0.500 1
# - D(E_F) (states/eV/atom) = 0.792
# - formation enthalpy at 0 K (eV/atom) = -0.5076
# - crystal system = cubic
# - total magnetic moment (μB per cell) = 0.0
# - V (Å³ per cell) = 402

---

No. 12
# GGA-PBE LiAcHoRh, optimized geometry
data_LiAcHoRh
_cell_length_a 7.300
_cell_length_b 7.300
_cell_length_c 7.300
_cell_angle_alpha 90.00
_cell_angle_beta 90.00
_cell_angle_gamma 90.00
_space_group_name_H-M_alt 'F -4 3 m'
_space_group_IT_number 216
_space_group_name_Hall 'F -4 2 3'
loop_
_atom_site_label
_atom_site_type_symbol
_atom_site_fract_x
_atom_site_fract_y
_atom_site_fract_z
_atom_site_occupancy
Li1 Li 0.000 0.000 0.000 1
Ac1 Ac 0.250 0.250 0.750 1
Ho1 Ho 0.250 0.250 0.250 1
Rh1 Rh 0.000 0.000 0.500 1
# - D(E_F) (states/eV/atom) = 0.783
# - formation enthalpy at 0 K (eV/atom) = -0.3246
# - crystal system = cubic
# - total magnetic moment (μB per cell) = 0.0
# - V (Å³ per cell) = 389